[1]
Here is a relaxed structure of CaTaPt2 from Alexandria via LeMat-Bulk. Energies are from PBE-GGA.

## Properties
E ... -6.618 eV/atom
DOS(E_F) ... 3.8 states/eV/cell
Offset from the most stable computed form ... 2.14 eV/f.u.
Crystal system ... cubic
Formation energy ... -134 meV per atom

Cell: 4.6407 4.6407 4.6407 Å, 60.00 60.00 60.00°
Closest atoms and distances in Å follow each position.
Fractional coordinates of all 4 atoms:
Pt: 0.2500 0.2500 0.2500  4 Ca 2.84, 4 Pt 2.84
Ta: 0.7500 0.7500 0.7500  4 Ca 2.84, 4 Pt 2.84
Ca: 0.5000 0.5000 0.5000  4 Ta 2.84, 4 Pt 2.84
Pt: 0.0000 0.0000 0.0000  4 Ta 2.84, 4 Pt 2.84

***

[2]
Here is a relaxed structure of CaTaPt2 from Alexandria via LeMat-Bulk. Energies are from PBE-GGA.

## Properties
E ... -6.981 eV/atom
DOS(E_F) ... 1.8 states/eV/cell
Offset from the most stable computed form ... 0.69 eV/f.u.
Crystal system ... trigonal
Formation energy ... -497 meV per atom

Cell: 7.0639 7.0639 7.0639 Å, 32.30 32.30 32.30°
Closest atoms and distances in Å follow each position.
Fractional coordinates of all 4 atoms:
Ta: 0.7500 0.7500 0.7500  6 Pt 2.61
Ca: 0.2500 0.2500 0.2500  6 Pt 3.06
Pt: 0.4809 0.4809 0.4809  3 Ta 2.61
Pt: 0.0191 0.0191 0.0191  3 Ta 2.61

***

[3]
Here is a relaxed structure of Ca2TaPt from Alexandria via LeMat-Bulk. Energies are from PBE-GGA.

## Properties
E ... -5.235 eV/atom
DOS(E_F) ... 4.0 states/eV/cell
Offset from the most stable computed form ... 1.52 eV/f.u.
Crystal system ... trigonal
Formation energy ... 239 meV per atom

Cell: 10.0026 10.0026 10.0026 Å, 18.76 18.76 18.76°
Closest atoms and distances in Å follow each position.
Fractional coordinates of all 4 atoms:
Ta: 0.7500 0.7500 0.7500  6 Ta 3.26, 6 Ca 3.28
Pt: 0.2500 0.2500 0.2500  6 Ca 2.92, 6 Pt 3.26
Ca: 0.5077 0.5077 0.5077  3 Pt 2.92, 6 Ca 3.26
Ca: 0.9923 0.9923 0.9923  3 Pt 2.92, 6 Ca 3.26

***

[4]
Here is a relaxed structure of Ca2TaPt from Alexandria via LeMat-Bulk. Energies are from PBE-GGA.

## Properties
E ... -5.242 eV/atom
DOS(E_F) ... 3.9 states/eV/cell
Offset from the most stable computed form ... 1.50 eV/f.u.
Crystal system ... monoclinic
Formation energy ... 232 meV per atom

Cell: 4.8840 3.0669 6.1828 Å, 69.46 90.00 90.00°
Closest atoms and distances in Å follow each position.
Fractional coordinates of all 4 atoms:
Pt: 0.5000 0.2500 0.2500  2 Ta 2.93, 4 Ca 3.04, 2 Pt 3.07
Ca: 0.0000 0.4581 0.4908  4 Ca 2.89-3.07, 2 Pt 3.04, 2 Ta 3.22
Ta: 0.5000 0.7500 0.7500  2 Pt 2.93, 2 Ta 3.07, 4 Ca 3.22
Ca: 0.0000 0.0419 0.0092  4 Ca 2.89-3.07, 2 Pt 3.04, 2 Ta 3.22

***

[5]
Here is a relaxed structure of CaTaPt2 from Alexandria via LeMat-Bulk. Energies are from PBE-GGA.

## Properties
E ... -6.915 eV/atom
DOS(E_F) ... 2.2 states/eV/cell
Offset from the most stable computed form ... 0.95 eV/f.u.
Crystal system ... monoclinic
Formation energy ... -431 meV per atom

Cell: 4.1561 4.1561 7.0909 Å, 84.19 84.19 41.34°
Closest atoms and distances in Å follow each position.
Fractional coordinates of all 4 atoms:
Ca: 0.2500 0.2500 0.2500  2 Ca 2.93, 6 Pt 2.97-3.03
Ta: 0.7500 0.7500 0.7500  6 Pt 2.58-2.76
Pt: 0.9986 0.9986 0.9624  3 Ta 2.58-2.76
Pt: 0.5014 0.5014 0.5376  3 Ta 2.58-2.76

***

[6]
Here is a relaxed structure of Ca2TaPt from Alexandria via LeMat-Bulk. Energies are from PBE-GGA.

## Properties
E ... -5.301 eV/atom
DOS(E_F) ... 4.3 states/eV/cell
Offset from the most stable computed form ... 1.26 eV/f.u.
Crystal system ... orthorhombic
Formation energy ... 173 meV per atom

Cell: 6.1165 6.1165 6.1165 Å, 146.73 134.63 57.41°
Closest atoms and distances in Å follow each position.
Fractional coordinates of all 4 atoms:
Ta: 0.7500 0.2500 0.5000  4 Pt 2.94, 4 Ca 3.27
Ca: 0.0389 0.0389 0.0000  2 Pt 2.86, 4 Ca 3.05
Pt: 0.2500 0.7500 0.5000  4 Ca 2.86, 4 Ta 2.94
Ca: 0.4611 0.4611 0.0000  2 Pt 2.86, 4 Ca 3.05

***

[7]
Here is a relaxed structure of CaTaPt2 from Alexandria via LeMat-Bulk. Energies are from PBE-GGA.

## Properties
E ... -7.152 eV/atom
DOS(E_F) ... 2.7 states/eV/cell
Offset from the most stable computed form ... 0.00 eV/f.u.
Crystal system ... tetragonal
Formation energy ... -668 meV per atom

Cell: 3.3038 3.3038 7.2478 Å, 90.00 90.00 90.00°
Closest atoms and distances in Å follow each position.
Fractional coordinates of all 4 atoms:
Ca: 0.5000 0.5000 0.7500  8 Pt 3.20, 4 Ca 3.30
Ta: 0.5000 0.5000 0.2500  8 Pt 2.74
Pt: 0.0000 0.0000 0.4478  4 Ta 2.74, 1 Pt 2.87
Pt: 0.0000 0.0000 0.0522  4 Ta 2.74, 1 Pt 2.87

***

[8]
Here is a relaxed structure of CaTa2Pt from Alexandria via LeMat-Bulk. Energies are from PBE-GGA.

## Properties
E ... -7.748 eV/atom
DOS(E_F) ... 4.9 states/eV/cell
Offset from the most stable computed form ... 1.14 eV/f.u.
Crystal system ... orthorhombic
Formation energy ... 189 meV per atom

Cell: 2.8700 2.8700 9.6741 Å, 90.00 90.00 90.12°
Closest atoms and distances in Å follow each position.
Fractional coordinates of all 4 atoms:
Pt: 0.5000 0.5000 0.7500  8 Ta 2.86-2.87, 4 Pt 2.87
Ta: 0.0000 0.0000 0.9592  4 Pt 2.86-2.87, 4 Ta 2.87
Ta: 0.0000 0.0000 0.5408  4 Pt 2.86-2.87, 4 Ta 2.87
Ca: 0.5000 0.5000 0.2500  4 Ca 2.87

***

[9]
Here is a relaxed structure of Ca2TaTcPt from Alexandria via LeMat-Bulk. Energies are from PBE-GGA.

## Properties
E ... -5.634 eV/atom
DOS(E_F) ... 5.6 states/eV/cell
Crystal system ... tetragonal
Formation energy ... 819 meV per atom

Cell: 5.3533 4.6336 5.3533 Å, 90.00 90.00 90.00°
Closest atoms and distances in Å follow each position.
Fractional coordinates of all 5 atoms:
Pt: 0.5000 0.5000 0.5000  8 Ca 3.54, 4 Ta 3.79
Ca: 0.0000 0.0000 0.5000  2 Tc 2.68
Tc: 0.0000 0.0000 0.0000  2 Ta 2.32
Ta: 0.0000 0.5000 0.0000  2 Tc 2.32
Ca: 0.5000 0.0000 0.0000  2 Tc 2.68

***

[10]
Here is a relaxed structure of CaTbPt6 from Alexandria via LeMat-Bulk. Energies are from PBE-GGA.

## Properties
E ... -5.804 eV/atom
DOS(E_F) ... 17.2 states/eV/cell
Crystal system ... cubic
Formation energy ... -444 meV per atom

Cell: 5.2913 5.2913 5.2913 Å, 90.00 90.00 90.00°
Closest atoms and distances in Å follow each position.
Fractional coordinates of all 8 atoms:
Pt: 0.7497 0.0000 0.5000  2 Pt 2.64-2.65, 2 Ca 2.96, 2 Tb 2.96
Pt: 0.0000 0.5000 0.7497  2 Pt 2.64-2.65, 2 Ca 2.96, 2 Tb 2.96
Pt: 0.2503 0.0000 0.5000  2 Pt 2.64-2.65, 2 Ca 2.96, 2 Tb 2.96
Pt: 0.5000 0.7497 0.0000  2 Pt 2.64-2.65, 2 Ca 2.96, 2 Tb 2.96
Ca: 0.5000 0.5000 0.5000  12 Pt 2.96
Tb: 0.0000 0.0000 0.0000  12 Pt 2.96
Pt: 0.5000 0.2503 0.0000  2 Pt 2.64-2.65, 2 Ca 2.96, 2 Tb 2.96
Pt: 0.0000 0.5000 0.2503  2 Pt 2.64-2.65, 2 Ca 2.96, 2 Tb 2.96

***

[11]
Here is a relaxed structure of Ca2Tb3Pt2 from Alexandria via LeMat-Bulk. Energies are from PBE-GGA.

## Properties
E ... -5.046 eV/atom
DOS(E_F) ... 5.2 states/eV/cell
Crystal system ... monoclinic
Formation energy ... -764 meV per atom

Cell: 3.9137 6.5888 8.5322 Å, 73.15 76.74 72.72°
Closest atoms and distances in Å follow each position.
Fractional coordinates of all 7 atoms:
Tb: 0.3795 0.8037 0.4372  3 Pt 2.86-2.90
Pt: 0.8358 0.0847 0.2437  5 Tb 2.86-2.95, 2 Ca 3.09
Pt: 0.1642 0.9153 0.7563  5 Tb 2.86-2.95, 2 Ca 3.09
Ca: 0.8347 0.5248 0.8057  2 Pt 3.09
Tb: 0.5000 0.0000 0.0000  4 Pt 2.95
Tb: 0.6205 0.1963 0.5628  3 Pt 2.86-2.90
Ca: 0.1653 0.4752 0.1943  2 Pt 3.09

***

[12]
Here is a relaxed structure of CaTb5Pt6 from Alexandria via LeMat-Bulk. Energies are from PBE-GGA.

## Properties
E ... -6.290 eV/atom
DOS(E_F) ... 6.1 states/eV/cell
Crystal system ... monoclinic
Formation energy ... -1173 meV per atom

Cell: 4.9594 8.5910 8.5910 Å, 119.97 106.81 106.81°
Closest atoms and distances in Å follow each position.
Fractional coordinates of all 12 atoms:
Tb: 0.0000 0.6684 0.3316  8 Pt 2.98-3.00
Pt: 0.7404 0.5676 0.9132  7 Tb 2.98-3.08, 1 Ca 3.15
Pt: 0.2596 0.4324 0.0868  7 Tb 2.98-3.08, 1 Ca 3.15
Tb: 0.0000 0.3316 0.6684  8 Pt 2.98-3.00
Pt: 0.2331 0.7334 0.7334  6 Tb 2.97-3.04, 2 Ca 3.10-3.11, 1 Pt 3.27
Pt: 0.2596 0.0868 0.4324  7 Tb 2.98-3.08, 1 Ca 3.15
Ca: 0.0000 0.0000 0.0000  8 Pt 3.10-3.15, 4 Tb 3.45
Tb: 0.5000 0.1609 0.8391  8 Pt 2.99-3.08
Pt: 0.7404 0.9132 0.5676  7 Tb 2.98-3.08, 1 Ca 3.15
Pt: 0.7669 0.2666 0.2666  6 Tb 2.97-3.04, 2 Ca 3.10-3.11, 1 Pt 3.27
Tb: 0.5000 0.5000 0.5000  8 Pt 2.97-3.07
Tb: 0.5000 0.8391 0.1609  8 Pt 2.99-3.08